1.
Entry from Alexandria: AlCrCo3 after structural relaxation (PBE).

Calculated values
The energy of formation comes out at 0.9691 eV per atom. For the electronic total energy, the calculation gives -29.84 eV per cell. Its total magnetization is 0.00 μB per formula unit. As for the space group: Pm-3m, No. 221. Its offset from the most stable computed form is 0 meV/atom.

a b c (Å): 4.1496 4.1496 4.1496
angles (deg): 90.00 90.00 90.00
Last column: nearest neighbours and their distance in Å.
Sites, in units of the cell vectors:
Al: 0.0000 0.0000 0.0000  12 Co 2.93
Cr: 0.5000 0.5000 0.5000  6 Co 2.07
Co: 0.0000 0.5000 0.5000  2 Cr 2.07
Co: 0.5000 0.0000 0.5000  2 Cr 2.07
Co: 0.5000 0.5000 0.0000  2 Cr 2.07


2.
Entry from Alexandria: AlCrCo6 after structural relaxation (PBE).

Calculated values
The energy of formation comes out at -0.1039 eV per atom. For the electronic total energy, the calculation gives -227.33 eV per cell. Its total magnetization is 4.71 μB per formula unit. As for the space group: Cmmm, No. 65.

a b c (Å): 6.1271 6.1271 10.0241
angles (deg): 90.00 90.00 109.50
Last column: nearest neighbours and their distance in Å.
Sites, in units of the cell vectors:
Al: 0.0000 0.0000 0.2486  12 Co 2.49-2.53
Al: 0.0000 0.0000 0.7514  12 Co 2.49-2.53
Al: 0.2510 0.7490 0.5000  12 Co 2.49-2.55
Al: 0.7490 0.2510 0.5000  12 Co 2.49-2.55
Cr: 0.2514 0.7486 0.0000  12 Co 2.46-2.52
Cr: 0.5000 0.5000 0.2545  12 Co 2.45-2.55
Cr: 0.5000 0.5000 0.7455  12 Co 2.45-2.55
Cr: 0.7486 0.2514 0.0000  12 Co 2.46-2.52
Co: 0.0000 0.0000 0.0000  2 Al 2.49, 8 Co 2.51, 2 Cr 2.52
Co: 0.0000 0.0000 0.5000  4 Al 2.51-2.52, 8 Co 2.52
Co: 0.1263 0.3798 0.1223  8 Co 2.45-2.54, 3 Cr 2.46-2.53, 1 Al 2.53
Co: 0.1263 0.3798 0.8777  8 Co 2.45-2.54, 3 Cr 2.46-2.53, 1 Al 2.53
Co: 0.1291 0.3762 0.3725  1 Cr 2.45, 8 Co 2.47-2.56, 3 Al 2.50-2.54
Co: 0.1291 0.3762 0.6275  1 Cr 2.45, 8 Co 2.47-2.56, 3 Al 2.50-2.54
Co: 0.2529 0.7471 0.2453  8 Co 2.45-2.55, 2 Cr 2.46-2.47, 2 Al 2.53-2.55
Co: 0.2529 0.7471 0.7547  8 Co 2.45-2.55, 2 Cr 2.46-2.47, 2 Al 2.53-2.55
Co: 0.3762 0.1291 0.3725  1 Cr 2.45, 8 Co 2.47-2.56, 3 Al 2.50-2.54
Co: 0.3762 0.1291 0.6275  1 Cr 2.45, 8 Co 2.47-2.56, 3 Al 2.50-2.54
Co: 0.3798 0.1263 0.1223  8 Co 2.45-2.54, 3 Cr 2.46-2.53, 1 Al 2.53
Co: 0.3798 0.1263 0.8777  8 Co 2.45-2.54, 3 Cr 2.46-2.53, 1 Al 2.53
Co: 0.5000 0.5000 0.0000  8 Co 2.48, 4 Cr 2.49-2.55
Co: 0.5000 0.5000 0.5000  2 Cr 2.46, 2 Al 2.49, 8 Co 2.49
Co: 0.6202 0.8737 0.1223  8 Co 2.45-2.54, 3 Cr 2.46-2.53, 1 Al 2.53
Co: 0.6202 0.8737 0.8777  8 Co 2.45-2.54, 3 Cr 2.46-2.53, 1 Al 2.53
Co: 0.6238 0.8709 0.3725  1 Cr 2.45, 8 Co 2.47-2.56, 3 Al 2.50-2.54
Co: 0.6238 0.8709 0.6275  1 Cr 2.45, 8 Co 2.47-2.56, 3 Al 2.50-2.54
Co: 0.7471 0.2529 0.2453  8 Co 2.45-2.55, 2 Cr 2.46-2.47, 2 Al 2.53-2.55
Co: 0.7471 0.2529 0.7547  8 Co 2.45-2.55, 2 Cr 2.46-2.47, 2 Al 2.53-2.55
Co: 0.8709 0.6238 0.3725  1 Cr 2.45, 8 Co 2.47-2.56, 3 Al 2.50-2.54
Co: 0.8709 0.6238 0.6275  1 Cr 2.45, 8 Co 2.47-2.56, 3 Al 2.50-2.54
Co: 0.8737 0.6202 0.1223  8 Co 2.45-2.54, 3 Cr 2.46-2.53, 1 Al 2.53
Co: 0.8737 0.6202 0.8777  8 Co 2.45-2.54, 3 Cr 2.46-2.53, 1 Al 2.53


3.
Entry from Alexandria: AlCrCo3 after structural relaxation (PBE).

Calculated values
The energy of formation comes out at 1.3510 eV per atom. For the electronic total energy, the calculation gives -27.93 eV per cell. Its total magnetization is 0.29 μB per formula unit. As for the space group: Pm-3m, No. 221. Its offset from the most stable computed form is 382 meV/atom.

a b c (Å): 4.1234 4.1234 4.1234
angles (deg): 90.00 90.00 90.00
Last column: nearest neighbours and their distance in Å.
Sites, in units of the cell vectors:
Al: 0.0000 0.0000 0.0000  6 Co 2.06
Cr: 0.5000 0.5000 0.5000  12 Co 2.92
Co: 0.0000 0.0000 0.5000  2 Al 2.06
Co: 0.0000 0.5000 0.0000  2 Al 2.06
Co: 0.5000 0.0000 0.0000  2 Al 2.06


4.
Entry from Alexandria: Al2CrCo after structural relaxation (PBE).

Calculated values
The energy of formation comes out at -0.1339 eV per atom. For the electronic total energy, the calculation gives -24.75 eV per cell. Its total magnetization is 2.38 μB per formula unit. As for the space group: I-4m2, No. 119.

a b c (Å): 4.6554 4.6554 4.6554
angles (deg): 133.77 133.77 67.44
Last column: nearest neighbours and their distance in Å.
Sites, in units of the cell vectors:
Al: 0.0000 0.0000 0.0000  4 Cr 2.58, 4 Co 2.66, 4 Al 2.66
Al: 0.7500 0.2500 0.5000  4 Co 2.58, 4 Cr 2.66, 4 Al 2.66
Cr: 0.5000 0.5000 0.0000  8 Al 2.58-2.66, 4 Co 2.66
Co: 0.2500 0.7500 0.5000  8 Al 2.58-2.66, 4 Cr 2.66


Q: Look up the energy of formation of the second one.
A: -0.1039 eV per atom


Q: What is the energy of formation in the first record?
A: 0.9691 eV per atom


Copy entry 2 word for word.
Entry from Alexandria: AlCrCo6 after structural relaxation (PBE).

Calculated values
The energy of formation comes out at -0.1039 eV per atom. For the electronic total energy, the calculation gives -227.33 eV per cell. Its total magnetization is 4.71 μB per formula unit. As for the space group: Cmmm, No. 65.

a b c (Å): 6.1271 6.1271 10.0241
angles (deg): 90.00 90.00 109.50
Last column: nearest neighbours and their distance in Å.
Sites, in units of the cell vectors:
Al: 0.0000 0.0000 0.2486  12 Co 2.49-2.53
Al: 0.0000 0.0000 0.7514  12 Co 2.49-2.53
Al: 0.2510 0.7490 0.5000  12 Co 2.49-2.55
Al: 0.7490 0.2510 0.5000  12 Co 2.49-2.55
Cr: 0.2514 0.7486 0.0000  12 Co 2.46-2.52
Cr: 0.5000 0.5000 0.2545  12 Co 2.45-2.55
Cr: 0.5000 0.5000 0.7455  12 Co 2.45-2.55
Cr: 0.7486 0.2514 0.0000  12 Co 2.46-2.52
Co: 0.0000 0.0000 0.0000  2 Al 2.49, 8 Co 2.51, 2 Cr 2.52
Co: 0.0000 0.0000 0.5000  4 Al 2.51-2.52, 8 Co 2.52
Co: 0.1263 0.3798 0.1223  8 Co 2.45-2.54, 3 Cr 2.46-2.53, 1 Al 2.53
Co: 0.1263 0.3798 0.8777  8 Co 2.45-2.54, 3 Cr 2.46-2.53, 1 Al 2.53
Co: 0.1291 0.3762 0.3725  1 Cr 2.45, 8 Co 2.47-2.56, 3 Al 2.50-2.54
Co: 0.1291 0.3762 0.6275  1 Cr 2.45, 8 Co 2.47-2.56, 3 Al 2.50-2.54
Co: 0.2529 0.7471 0.2453  8 Co 2.45-2.55, 2 Cr 2.46-2.47, 2 Al 2.53-2.55
Co: 0.2529 0.7471 0.7547  8 Co 2.45-2.55, 2 Cr 2.46-2.47, 2 Al 2.53-2.55
Co: 0.3762 0.1291 0.3725  1 Cr 2.45, 8 Co 2.47-2.56, 3 Al 2.50-2.54
Co: 0.3762 0.1291 0.6275  1 Cr 2.45, 8 Co 2.47-2.56, 3 Al 2.50-2.54
Co: 0.3798 0.1263 0.1223  8 Co 2.45-2.54, 3 Cr 2.46-2.53, 1 Al 2.53
Co: 0.3798 0.1263 0.8777  8 Co 2.45-2.54, 3 Cr 2.46-2.53, 1 Al 2.53
Co: 0.5000 0.5000 0.0000  8 Co 2.48, 4 Cr 2.49-2.55
Co: 0.5000 0.5000 0.5000  2 Cr 2.46, 2 Al 2.49, 8 Co 2.49
Co: 0.6202 0.8737 0.1223  8 Co 2.45-2.54, 3 Cr 2.46-2.53, 1 Al 2.53
Co: 0.6202 0.8737 0.8777  8 Co 2.45-2.54, 3 Cr 2.46-2.53, 1 Al 2.53
Co: 0.6238 0.8709 0.3725  1 Cr 2.45, 8 Co 2.47-2.56, 3 Al 2.50-2.54
Co: 0.6238 0.8709 0.6275  1 Cr 2.45, 8 Co 2.47-2.56, 3 Al 2.50-2.54
Co: 0.7471 0.2529 0.2453  8 Co 2.45-2.55, 2 Cr 2.46-2.47, 2 Al 2.53-2.55
Co: 0.7471 0.2529 0.7547  8 Co 2.45-2.55, 2 Cr 2.46-2.47, 2 Al 2.53-2.55
Co: 0.8709 0.6238 0.3725  1 Cr 2.45, 8 Co 2.47-2.56, 3 Al 2.50-2.54
Co: 0.8709 0.6238 0.6275  1 Cr 2.45, 8 Co 2.47-2.56, 3 Al 2.50-2.54
Co: 0.8737 0.6202 0.1223  8 Co 2.45-2.54, 3 Cr 2.46-2.53, 1 Al 2.53
Co: 0.8737 0.6202 0.8777  8 Co 2.45-2.54, 3 Cr 2.46-2.53, 1 Al 2.53


Please write out number 4 again, unchanged.
Entry from Alexandria: Al2CrCo after structural relaxation (PBE).

Calculated values
The energy of formation comes out at -0.1339 eV per atom. For the electronic total energy, the calculation gives -24.75 eV per cell. Its total magnetization is 2.38 μB per formula unit. As for the space group: I-4m2, No. 119.

a b c (Å): 4.6554 4.6554 4.6554
angles (deg): 133.77 133.77 67.44
Last column: nearest neighbours and their distance in Å.
Sites, in units of the cell vectors:
Al: 0.0000 0.0000 0.0000  4 Cr 2.58, 4 Co 2.66, 4 Al 2.66
Al: 0.7500 0.2500 0.5000  4 Co 2.58, 4 Cr 2.66, 4 Al 2.66
Cr: 0.5000 0.5000 0.0000  8 Al 2.58-2.66, 4 Co 2.66
Co: 0.2500 0.7500 0.5000  8 Al 2.58-2.66, 4 Cr 2.66